Record 1
Density functional theory data (GGA-PBE) for an optimized crystal structure of TbCeSm6Y2.

Computed properties:
E (Ry per atom): -0.36250
Calculated density (g/cm3): 6.7
Spin magnetization (μB per formula unit): 1.62
Energy relative to the elements (meV/atom): 249

abc: 11.4530 6.9229 8.8951
angles: 90.00 105.12 90.00
Closest atoms and distances in Å follow each position.
Space group C2/m (No. 12)
Unique sites:
1 Tb 0.0000 0.0000 0.0000  4 Sm 3.30, 2 Y 3.38
2 Ce 0.0000 0.5000 0.5000  6 Sm 3.47-3.61, 4 Y 3.81
3 Sm 0.1275 0.5000 0.9166  7 Sm 3.60-3.89, 1 Ce 3.61, 2 Tb 3.90
4 Sm 0.1694 0.2370 0.2996  2 Y 3.23-3.49, 2 Sm 3.28-3.57, 1 Tb 3.30, 1 Ce 3.47
5 Y 0.0923 0.0000 0.6684  1 Y 3.18, 4 Sm 3.23-3.49, 1 Tb 3.38

Record 2
Density functional theory data (GGA-PBE) for an optimized crystal structure of Tb2CeSmY5.

Computed properties:
E (Ry per atom): -0.40526
Calculated density (g/cm3): 5.9
Spin magnetization (μB per formula unit): 1.34
Energy relative to the elements (meV/atom): 290

abc: 8.6163 8.6163 8.0392
angles: 90.00 90.00 90.00
Closest atoms and distances in Å follow each position.
Space group P4/mbm (No. 127)
Unique sites:
1 Tb 0.1197 0.3803 0.0000  1 Tb 2.92, 2 Y 3.07
2 Ce 0.0000 0.5000 0.5000  4 Y 3.08
3 Sm 0.0000 0.0000 0.5000  10 Y 3.61-4.02
4 Y 0.0000 0.0000 0.0000  4 Tb 3.44, 8 Y 3.79
5 Y 0.2025 0.7025 0.2700  1 Tb 3.07, 1 Ce 3.08

> Among the records above, which one has the highest energy relative to the elements?

Tb2CeSmY5